Entry 1:
A plane-wave DFT calculation with PBE was carried out for an optimized crystal structure of In12Ga3S5.

CIF file:
```
data_In12Ga3S5
_chemical_formula_sum 'In48 Ga12 S20'
_symmetry_space_group_name_H-M 'P 1'
_symmetry_Int_Tables_number 1
_cell_length_a 14.485
_cell_length_b 14.485
_cell_length_c 14.485
_cell_angle_alpha 109.47
_cell_angle_beta 109.47
_cell_angle_gamma 109.47
loop_
_symmetry_equiv_pos_as_xyz
'x,y,z'
loop_
_atom_site_label
_atom_site_fract_x
_atom_site_fract_y
_atom_site_fract_z
_atom_site_occupancy
In1 0.055 0.225 0.142 1
In2 0.055 0.330 0.913 1
In3 0.084 0.725 0.670 1
In4 0.084 0.858 0.413 1
In5 0.087 0.642 0.416 1
In6 0.087 0.945 0.670 1
In7 0.142 0.055 0.225 1
In8 0.142 0.587 0.916 1
In9 0.170 0.225 0.584 1
In10 0.170 0.445 0.587 1
In11 0.225 0.142 0.055 1
In12 0.225 0.584 0.170 1
In13 0.275 0.330 0.916 1
In14 0.275 0.445 0.358 1
In15 0.330 0.913 0.055 1
In16 0.330 0.916 0.275 1
In17 0.358 0.275 0.445 1
In18 0.358 0.584 0.913 1
In19 0.413 0.084 0.858 1
In20 0.413 0.830 0.555 1
In21 0.416 0.087 0.642 1
In22 0.416 0.830 0.775 1
In23 0.445 0.358 0.275 1
In24 0.445 0.587 0.170 1
In25 0.555 0.413 0.830 1
In26 0.555 0.642 0.725 1
In27 0.584 0.170 0.225 1
In28 0.584 0.913 0.358 1
In29 0.587 0.170 0.445 1
In30 0.587 0.916 0.142 1
In31 0.642 0.416 0.087 1
In32 0.642 0.725 0.555 1
In33 0.670 0.084 0.725 1
In34 0.670 0.087 0.945 1
In35 0.725 0.555 0.642 1
In36 0.725 0.670 0.084 1
In37 0.775 0.416 0.830 1
In38 0.775 0.858 0.945 1
In39 0.830 0.555 0.413 1
In40 0.830 0.775 0.416 1
In41 0.858 0.413 0.084 1
In42 0.858 0.945 0.775 1
In43 0.913 0.055 0.330 1
In44 0.913 0.358 0.584 1
In45 0.916 0.142 0.587 1
In46 0.916 0.275 0.330 1
In47 0.945 0.670 0.087 1
In48 0.945 0.775 0.858 1
Ga1 0.125 0.250 0.375 1
Ga2 0.125 0.375 0.750 1
Ga3 0.250 0.375 0.125 1
Ga4 0.250 0.875 0.625 1
Ga5 0.375 0.125 0.250 1
Ga6 0.375 0.750 0.125 1
Ga7 0.625 0.250 0.875 1
Ga8 0.625 0.875 0.750 1
Ga9 0.750 0.125 0.375 1
Ga10 0.750 0.625 0.875 1
Ga11 0.875 0.625 0.250 1
Ga12 0.875 0.750 0.625 1
S1 0.000 0.000 0.000 1
S2 0.000 0.000 0.500 1
S3 0.000 0.500 0.000 1
S4 0.000 0.500 0.500 1
S5 0.125 0.750 0.875 1
S6 0.125 0.875 0.250 1
S7 0.250 0.125 0.875 1
S8 0.250 0.625 0.375 1
S9 0.375 0.250 0.625 1
S10 0.375 0.625 0.750 1
S11 0.500 0.000 0.000 1
S12 0.500 0.000 0.500 1
S13 0.500 0.500 0.000 1
S14 0.500 0.500 0.500 1
S15 0.625 0.375 0.250 1
S16 0.625 0.750 0.375 1
S17 0.750 0.375 0.625 1
S18 0.750 0.875 0.125 1
S19 0.875 0.125 0.750 1
S20 0.875 0.250 0.125 1
```

Results
The value obtained for the total energy is -63.75 eV/f.u. The calculation puts the density of states at the Fermi level at 44.8 states/eV per cell. The formation energy from raw total energies comes out at -0.059 eV/atom. As for the magnetic moment: 0.00 μB/f.u.



Entry 2:
A plane-wave DFT calculation with PBE was carried out for an optimized crystal structure of SiPSe2N.

CIF file:
```
data_SiPSe2N
_chemical_formula_sum 'Si1 P1 Se2 N1'
_symmetry_space_group_name_H-M 'P 1'
_symmetry_Int_Tables_number 1
_cell_length_a 5.039
_cell_length_b 5.039
_cell_length_c 3.296
_cell_angle_alpha 90.00
_cell_angle_beta 90.00
_cell_angle_gamma 90.00
loop_
_symmetry_equiv_pos_as_xyz
'x,y,z'
loop_
_atom_site_label
_atom_site_fract_x
_atom_site_fract_y
_atom_site_fract_z
_atom_site_occupancy
Si1 0.000 0.000 0.000 1
P1 0.500 0.500 0.500 1
Se1 0.000 0.500 0.500 1
Se2 0.500 0.000 0.500 1
N1 0.500 0.500 0.000 1
```

Results
The value obtained for the total energy is -22.85 eV/f.u. The calculation puts the density of states at the Fermi level at 3.5 states/eV per cell. The formation energy from raw total energies comes out at 0.655 eV/atom. As for the magnetic moment: 0.00 μB/f.u.



Entry 3:
A plane-wave DFT calculation with PBE was carried out for an optimized crystal structure of SrAgPd3.

CIF file:
```
data_SrAgPd3
_chemical_formula_sum 'Sr1 Ag1 Pd3'
_symmetry_space_group_name_H-M 'P 1'
_symmetry_Int_Tables_number 1
_cell_length_a 5.009
_cell_length_b 5.009
_cell_length_c 5.009
_cell_angle_alpha 90.00
_cell_angle_beta 90.00
_cell_angle_gamma 90.00
loop_
_symmetry_equiv_pos_as_xyz
'x,y,z'
loop_
_atom_site_label
_atom_site_fract_x
_atom_site_fract_y
_atom_site_fract_z
_atom_site_occupancy
Sr1 0.000 0.000 0.000 1
Ag1 0.500 0.500 0.500 1
Pd1 0.000 0.500 0.500 1
Pd2 0.500 0.000 0.500 1
Pd3 0.500 0.500 0.000 1
```

Results
The value obtained for the total energy is -19.05 eV/f.u. The calculation puts the density of states at the Fermi level at 3.2 states/eV per cell. As for the magnetic moment: 0.00 μB/f.u. The calculation puts the energy of formation from the pure elements at 1.1 eV/f.u.



Entry 4:
A plane-wave DFT calculation with PBE was carried out for an optimized crystal structure of MgSi2Os.

CIF file:
```
data_MgSi2Os
_chemical_formula_sum 'Mg1 Si2 Os1'
_symmetry_space_group_name_H-M 'P 1'
_symmetry_Int_Tables_number 1
_cell_length_a 4.339
_cell_length_b 4.339
_cell_length_c 4.339
_cell_angle_alpha 60.00
_cell_angle_beta 60.00
_cell_angle_gamma 60.00
loop_
_symmetry_equiv_pos_as_xyz
'x,y,z'
loop_
_atom_site_label
_atom_site_fract_x
_atom_site_fract_y
_atom_site_fract_z
_atom_site_occupancy
Mg1 0.000 0.000 0.000 1
Si1 0.250 0.250 0.250 1
Si2 0.500 0.500 0.500 1
Os1 0.750 0.750 0.750 1
```

Results
The value obtained for the total energy is -22.24 eV/f.u. The calculation puts the density of states at the Fermi level at 3.2 states/eV per cell. The formation energy from raw total energies comes out at 0.359 eV/atom. As for the magnetic moment: 0.00 μB/f.u.



Entry 5:
A plane-wave DFT calculation with PBE was carried out for an optimized crystal structure of SmMn2V.

CIF file:
```
data_SmMn2V
_chemical_formula_sum 'Sm1 Mn2 V1'
_symmetry_space_group_name_H-M 'P 1'
_symmetry_Int_Tables_number 1
_cell_length_a 8.987
_cell_length_b 8.987
_cell_length_c 8.987
_cell_angle_alpha 19.56
_cell_angle_beta 19.56
_cell_angle_gamma 19.56
loop_
_symmetry_equiv_pos_as_xyz
'x,y,z'
loop_
_atom_site_label
_atom_site_fract_x
_atom_site_fract_y
_atom_site_fract_z
_atom_site_occupancy
Sm1 0.000 0.000 0.000 1
Mn1 0.234 0.234 0.234 1
Mn2 0.766 0.766 0.766 1
V1 0.500 0.500 0.500 1
```

Results
The value obtained for the total energy is -30.13 eV/f.u. The calculation puts the density of states at the Fermi level at 5.5 states/eV per cell. As for the magnetic moment: 4.55 μB/f.u. The calculation puts the energy of formation from the pure elements at 2.0 eV/f.u.



Entry 6:
A plane-wave DFT calculation with PBE was carried out for an optimized crystal structure of Gd2PuAl.

CIF file:
```
data_Gd2PuAl
_chemical_formula_sum 'Gd2 Pu1 Al1'
_symmetry_space_group_name_H-M 'P 1'
_symmetry_Int_Tables_number 1
_cell_length_a 10.696
_cell_length_b 10.696
_cell_length_c 10.696
_cell_angle_alpha 18.74
_cell_angle_beta 18.74
_cell_angle_gamma 18.74
loop_
_symmetry_equiv_pos_as_xyz
'x,y,z'
loop_
_atom_site_label
_atom_site_fract_x
_atom_site_fract_y
_atom_site_fract_z
_atom_site_occupancy
Gd1 0.242 0.242 0.242 1
Gd2 0.758 0.758 0.758 1
Pu1 0.000 0.000 0.000 1
Al1 0.500 0.500 0.500 1
```

Results
The value obtained for the total energy is -46.08 eV/f.u. The calculation puts the density of states at the Fermi level at 11.5 states/eV per cell. As for the magnetic moment: 8.25 μB/f.u. The calculation puts the energy of formation from the pure elements at 0.2 eV/f.u.



Entry 7:
A plane-wave DFT calculation with PBE was carried out for an optimized crystal structure of Sr4Zn3Rh.

CIF file:
```
data_Sr4Zn3Rh
_chemical_formula_sum 'Sr4 Zn3 Rh1'
_symmetry_space_group_name_H-M 'P 1'
_symmetry_Int_Tables_number 1
_cell_length_a 4.529
_cell_length_b 4.537
_cell_length_c 11.738
_cell_angle_alpha 90.00
_cell_angle_beta 90.00
_cell_angle_gamma 90.00
loop_
_symmetry_equiv_pos_as_xyz
'x,y,z'
loop_
_atom_site_label
_atom_site_fract_x
_atom_site_fract_y
_atom_site_fract_z
_atom_site_occupancy
Sr1 0.000 0.000 0.000 1
Sr2 0.000 0.500 0.468 1
Sr3 0.500 0.000 0.696 1
Sr4 0.500 0.500 0.202 1
Zn1 0.000 0.500 0.786 1
Zn2 0.500 0.000 0.391 1
Zn3 0.500 0.500 0.900 1
Rh1 0.000 0.000 0.287 1
```

Results
The value obtained for the total energy is -20.05 eV/f.u. The calculation puts the density of states at the Fermi level at 5.3 states/eV per cell. As for the magnetic moment: 0.00 μB/f.u. The calculation puts the energy of formation from the pure elements at -2.1 eV/f.u.



Entry 8:
A plane-wave DFT calculation with PBE was carried out for an optimized crystal structure of YAsRu.

CIF file:
```
data_YAsRu
_chemical_formula_sum 'Y1 As1 Ru1'
_symmetry_space_group_name_H-M 'P 1'
_symmetry_Int_Tables_number 1
_cell_length_a 4.462
_cell_length_b 4.462
_cell_length_c 4.462
_cell_angle_alpha 60.00
_cell_angle_beta 60.00
_cell_angle_gamma 60.00
loop_
_symmetry_equiv_pos_as_xyz
'x,y,z'
loop_
_atom_site_label
_atom_site_fract_x
_atom_site_fract_y
_atom_site_fract_z
_atom_site_occupancy
Y1 0.000 0.000 0.000 1
As1 0.500 0.500 0.500 1
Ru1 0.250 0.250 0.250 1
```

Results
The value obtained for the total energy is -21.67 eV/f.u. The calculation puts the density of states at the Fermi level at 3.3 states/eV per cell. As for the magnetic moment: 0.00 μB/f.u. The calculation puts the energy of formation from the pure elements at -1.3 eV/f.u.